Record 1
SbTe2P after structural relaxation. Source: the Alexandria database, functional GGA-PBE.

Formation energy from raw total energies = 0.401 eV per atom
VASP energy = -14.21 eV for the cell shown
Distance to the lowest polymorph of the same formula = 242 meV/atom
M_tot = 0.00 μB per cell

Cell lengths 3.168, 3.168, 11.004 Å; angles 90.00, 90.00, 107.39 degrees
Atoms (fractional coordinates):
Sb1 0.000 0.000 0.000
Te1 0.000 0.000 0.600
Te2 0.500 0.500 0.286
P1 0.500 0.500 0.825

Record 2
InCo2Ni after structural relaxation. Source: the Alexandria database, functional GGA-PBE.

Calculated formation energy = 0.428 eV per atom
VASP energy = -21.02 eV for the cell shown
M_tot = 3.23 μB per cell

Cell lengths 8.413, 8.413, 8.413 Å; angles 18.94, 18.94, 18.94 degrees
Atoms (fractional coordinates):
In1 0.000 0.000 0.000
Co1 0.243 0.243 0.243
Co2 0.757 0.757 0.757
Ni1 0.500 0.500 0.500

Record 3
Rb2MnInBr6 after structural relaxation. Source: the Alexandria database, functional GGA-PBE.

Formation energy from raw total energies = -1.149 eV per atom
VASP energy = -35.37 eV for the cell shown
M_tot = 4.21 μB per cell

Cell lengths 7.847, 7.847, 7.847 Å; angles 60.00, 60.00, 60.00 degrees
Atoms (fractional coordinates):
Rb1 0.250 0.250 0.250
Rb2 0.750 0.750 0.750
Mn1 0.000 0.000 0.000
In1 0.500 0.500 0.500
Br1 0.239 0.239 0.761
Br2 0.239 0.761 0.239
Br3 0.239 0.761 0.761
Br4 0.761 0.239 0.239
Br5 0.761 0.239 0.761
Br6 0.761 0.761 0.239

Record 4
YZnAgOs2 after structural relaxation. Source: the Alexandria database, functional GGA-PBE.

Calculated formation energy = 1.438 eV per atom
VASP energy = -25.86 eV for the cell shown
M_tot = 1.67 μB per cell

Cell lengths 4.932, 4.932, 4.524 Å; angles 90.00, 90.00, 90.00 degrees
Atoms (fractional coordinates):
Y1 0.000 0.000 0.000
Zn1 0.500 0.500 0.000
Ag1 0.500 0.500 0.500
Os1 0.000 0.500 0.500
Os2 0.500 0.000 0.500

Record 5
Nd5Ho4In after structural relaxation. Source: the Alexandria database, functional GGA-PBE.

Calculated formation energy = 0.148 eV per atom
VASP energy = -43.41 eV for the cell shown
Distance to the lowest polymorph of the same formula = 158 meV/atom
M_tot = 0.00 μB per cell

Cell lengths 8.097, 8.097, 8.097 Å; angles 97.81, 97.81, 136.73 degrees
Atoms (fractional coordinates):
Nd1 0.000 0.000 0.000
Nd2 0.532 0.532 0.624
Nd3 0.532 0.908 0.000
Nd4 0.908 0.532 0.000
Nd5 0.908 0.908 0.376
Ho1 0.213 0.532 0.319
Ho2 0.213 0.894 0.681
Ho3 0.532 0.213 0.319
Ho4 0.894 0.213 0.681
In1 0.480 0.480 0.000

Record 6
Pr4NdSn2 after structural relaxation. Source: the Alexandria database, functional GGA-PBE.

Calculated formation energy = -0.415 eV per atom
VASP energy = -34.80 eV for the cell shown
Distance to the lowest polymorph of the same formula = 0 meV/atom
M_tot = 0.00 μB per cell

Cell lengths 6.967, 6.967, 4.898 Å; angles 90.00, 90.00, 99.47 degrees
Atoms (fractional coordinates):
Pr1 0.000 0.500 0.500
Pr2 0.209 0.209 0.000
Pr3 0.500 0.000 0.500
Pr4 0.791 0.791 0.000
Nd1 0.500 0.500 0.500
Sn1 0.280 0.720 0.000
Sn2 0.720 0.280 0.000

Record 7
BeAlFeCu after structural relaxation. Source: the Alexandria database, functional GGA-PBE.

Calculated formation energy = -0.110 eV per atom
VASP energy = -20.47 eV for the cell shown
M_tot = 1.09 μB per cell

Cell lengths 3.974, 3.974, 3.974 Å; angles 60.00, 60.00, 60.00 degrees
Atoms (fractional coordinates):
Be1 0.000 0.000 0.000
Al1 0.500 0.500 0.500
Fe1 0.250 0.250 0.250
Cu1 0.750 0.750 0.750

Record 8
Sb2TePbF after structural relaxation. Source: the Alexandria database, functional GGA-PBE.

Formation energy from raw total energies = 0.649 eV per atom
VASP energy = -13.72 eV for the cell shown
Distance to the lowest polymorph of the same formula = 801 meV/atom
M_tot = 0.62 μB per cell

Cell lengths 5.962, 5.962, 5.856 Å; angles 90.00, 90.00, 90.00 degrees
Atoms (fractional coordinates):
Sb1 0.000 0.500 0.000
Sb2 0.500 0.000 0.000
Te1 0.000 0.000 0.500
Pb1 0.000 0.000 0.000
F1 0.500 0.500 0.500

VASP energy of number 7 (BeAlFeCu)? -20.47 eV for the cell shown

What is the VASP energy in the second record? -21.02 eV for the cell shown